# 1
Computed, not measured: a relaxed structure of Ho5Tm2ThSc at the GGA-PBE level of DFT.

Its total moment is 0.00 μB per formula unit. The calculation puts the formation energy from the elements at 0.172 eV per atom.

The structure belongs to space group Cmc2_1 (No. 36); the cell edges are 5.601, 21.582 and 9.367 Å and the angles 90.00°, 90.00° and 90.00°. The asymmetric unit holds Ho at (0.000, 0.013, 0.000), Ho at (0.000, 0.270, 0.309), Ho at (0.000, 0.303, 0.704), Ho at (0.000, 0.396, 0.030), Ho at (0.000, 0.470, 0.733), Tm at (0.000, 0.116, 0.308), Tm at (0.000, 0.132, 0.695), Th at (0.000, 0.402, 0.411) and Sc at (0.000, 0.189, 0.000).



# 2
Computed, not measured: a relaxed structure of Ho4Tm2ThSc at the GGA-PBE level of DFT.

Its total moment is 0.00 μB per formula unit. The calculation puts the formation energy from the elements at 0.043 eV per atom.

The structure belongs to space group Pmmm (No. 47); the cell edges are 4.921, 4.943 and 9.900 Å and the angles 90.00°, 90.00° and 90.00°. The asymmetric unit holds Ho at (0.000, 0.000, 0.246), Ho at (0.500, 0.500, 0.247), Tm at (0.000, 0.500, 0.500), Tm at (0.500, 0.000, 0.000), Th at (0.500, 0.000, 0.500) and Sc at (0.000, 0.500, 0.000).



> Which of these has the highest formation energy from the elements?

Ho5Tm2ThSc



> Which of these has the highest formation energy from the elements?

Ho5Tm2ThSc